# 1
Computed, not measured: a relaxed structure of Nd4Y4Tm3 at the PBE-GGA level of DFT.

Cell lengths 3.622, 9.315, 12.107 Å; angles 112.62, 98.60, 90.00 degrees
Sites, in units of the cell vectors:
Nd1 0.358 0.536 0.716
Nd2 0.642 0.464 0.284
Nd3 0.642 0.820 0.284
Nd4 0.358 0.180 0.716
Tm1 0.000 0.500 0.000
Tm2 0.892 0.892 0.784
Tm3 0.108 0.108 0.216
Y1 0.740 0.240 0.481
Y2 0.260 0.760 0.519
Y3 0.500 0.182 0.000
Y4 0.500 0.818 0.000

Summary:
Polymorph energy (0 for the lowest one), eV per atom: 0.066
E_form, eV per formula unit: 1.33
SG: Immm, No. 71


# 2
Computed, not measured: a relaxed structure of Ta2AlRh at the PBE-GGA level of DFT.

Cell lengths 2.857, 2.857, 8.040 Å; angles 90.00, 90.00, 90.06 degrees
Sites, in units of the cell vectors:
Rh1 0.500 0.500 0.750
Ta1 0.000 0.000 0.509
Ta2 0.000 0.000 0.991
Al1 0.500 0.500 0.250

Summary:
E_form, eV per formula unit: -1.35
SG: P4/mmm, No. 123


# 3
Computed, not measured: a relaxed structure of Ce2ZnGa6Cu at the PBE-GGA level of DFT.

Cell lengths 6.302, 6.302, 12.187 Å; angles 75.02, 75.02, 60.00 degrees
Sites, in units of the cell vectors:
Ga1 0.333 0.333 0.404
Ga2 0.225 0.225 0.896
Ga3 0.775 0.775 0.104
Ga4 0.667 0.667 0.596
Ga5 0.655 0.225 0.896
Ga6 0.070 0.667 0.596
Ga7 0.775 0.345 0.104
Ga8 0.333 0.930 0.404
Ga9 0.667 0.070 0.596
Ga10 0.345 0.775 0.104
Ga11 0.930 0.333 0.404
Ga12 0.225 0.655 0.896
Ce1 0.892 0.892 0.324
Ce2 0.284 0.284 0.149
Ce3 0.716 0.716 0.851
Ce4 0.108 0.108 0.676
Cu1 0.000 0.000 0.000
Cu2 0.500 0.500 0.500
Zn1 0.427 0.427 0.718
Zn2 0.573 0.573 0.282

Summary:
E_form, eV per formula unit: -2.88
SG: R-3m, No. 166


# 4
Computed, not measured: a relaxed structure of Na16TlCd12 at the PBE-GGA level of DFT.

Cell lengths 10.078, 10.078, 10.056 Å; angles 109.06, 109.06, 109.49 degrees
Sites, in units of the cell vectors:
Cd1 0.180 0.809 0.819
Cd2 0.178 0.356 0.991
Cd3 0.185 0.000 0.360
Cd4 0.356 0.178 0.991
Cd5 0.639 0.639 0.823
Cd6 0.368 0.001 0.183
Cd7 0.000 0.185 0.360
Cd8 0.636 0.823 0.640
Cd9 0.001 0.368 0.183
Cd10 0.823 0.636 0.640
Cd11 0.809 0.180 0.819
Cd12 0.819 0.819 0.184
Na1 0.685 0.999 0.408
Na2 0.589 0.279 0.591
Na3 0.001 0.646 0.004
Na4 0.999 0.685 0.408
Na5 0.279 0.589 0.591
Na6 0.406 0.997 0.683
Na7 0.646 0.001 0.004
Na8 0.356 0.356 0.340
Na9 0.997 0.997 0.648
Na10 0.999 0.999 0.001
Na11 0.677 0.415 0.006
Na12 0.322 0.714 0.310
Na13 0.415 0.677 0.006
Na14 0.997 0.406 0.683
Na15 0.308 0.308 0.713
Na16 0.714 0.322 0.310
Tl1 0.614 0.614 0.300

Summary:
E_form, eV per formula unit: -2.62
SG: Cm, No. 8


# 5
Computed, not measured: a relaxed structure of Ga2HgSe2 at the PBE-GGA level of DFT.

Cell lengths 4.985, 4.985, 5.801 Å; angles 64.55, 64.55, 90.00 degrees
Sites, in units of the cell vectors:
Se1 0.250 0.750 0.500
Se2 0.750 0.250 0.500
Ga1 0.359 0.359 0.281
Ga2 0.641 0.641 0.719
Hg1 0.000 0.000 0.000

Summary:
Polymorph energy (0 for the lowest one), eV per atom: 0.235
Formation energy from raw total energies, meV/atom: -224.8
SG: I4/mmm, No. 139


# 6
Computed, not measured: a relaxed structure of SmSc3Ag at the PBE-GGA level of DFT.

Cell lengths 6.461, 8.445, 9.318 Å; angles 90.00, 90.00, 90.00 degrees
Sites, in units of the cell vectors:
Sc1 0.891 0.166 0.545
Sc2 0.891 0.166 0.955
Sc3 0.391 0.334 0.955
Sc4 0.756 0.966 0.250
Sc5 0.256 0.534 0.250
Sc6 0.244 0.034 0.750
Sc7 0.109 0.834 0.045
Sc8 0.609 0.666 0.045
Sc9 0.744 0.466 0.750
Sc10 0.391 0.334 0.545
Sc11 0.609 0.666 0.455
Sc12 0.109 0.834 0.455
Sm1 0.213 0.147 0.250
Sm2 0.713 0.353 0.250
Sm3 0.787 0.853 0.750
Sm4 0.287 0.647 0.750
Ag1 0.000 0.500 0.000
Ag2 0.500 0.000 0.500
Ag3 0.500 0.000 0.000
Ag4 0.000 0.500 0.500

Summary:
E_form, eV per formula unit: 0.00
SG: Pnma, No. 62


Number 1: D(E_F) 1.7910 states/eV/atom. Number 2: D(E_F) 0.9615 states/eV/atom. Number 3: D(E_F) 1.3541 states/eV/atom. Number 4: D(E_F) 0.4585 states/eV/atom. Number 5: D(E_F) 0.2810 states/eV/atom. Number 6: D(E_F) 1.6277 states/eV/atom.